A geometry-optimized CdCo3S structure, computed with GGA-PBE.

Cell lengths 4.146, 4.146, 4.146 Å; angles 90.00, 90.00, 90.00 degrees
Space group Pm-3m (No. 221)
Symmetry-distinct sites (fractional):
Cd 0.000 0.000 0.000 [1 per cell]
Co 0.000 0.500 0.500 [3 per cell]
S 0.500 0.500 0.500 [1 per cell]

The value obtained for the energy relative to the elements, uncorrected is 11.6 kJ/mol of atoms. Its density of states at the Fermi level is 0.721 states/eV per atom. As for the energy: -5.1521 eV per atom.